# 1
This record from Alexandria via LeMat-Bulk describes a relaxed structure of TlBi2Pd2Pb2. The functional is PBE.

Properties
As for the space-group type: No. 139. The value obtained for the theoretical density is 9.753 g/cm3. The calculation puts the total energy at -3.8393 eV per atom. Its total magnetization is 0.0 Bohr magnetons per cell.

Cell: 8.977 8.977 8.977 Å, 147.09 147.09 47.23°
Fractional positions:
Tl: 0.000 0.000 0.000
Bi: 0.400 0.400 0.000
Bi: 0.600 0.600 0.000
Pd: 0.000 0.500 0.500
Pd: 0.500 0.000 0.500
Pb: 0.204 0.204 0.000
Pb: 0.796 0.796 0.000

***

# 2
This record from Alexandria via LeMat-Bulk describes a relaxed structure of Tl2BiPdPb. The functional is PBE.

Properties
As for the space-group type: No. 123. The value obtained for the theoretical density is 9.949 g/cm3. The calculation puts the total energy at -3.4664 eV per atom. Its total magnetization is 0.0 Bohr magnetons per cell.

Cell: 5.331 5.331 5.469 Å, 90.00 90.00 90.00°
Fractional positions:
Tl: 0.000 0.500 0.000
Tl: 0.500 0.000 0.000
Bi: 0.000 0.000 0.500
Pd: 0.500 0.500 0.000
Pb: 0.500 0.500 0.500

***

# 3
This record from Alexandria via LeMat-Bulk describes a relaxed structure of PmBiPb2. The functional is PBE.

Properties
As for the space-group type: No. 123. The value obtained for the theoretical density is 10.524 g/cm3. The calculation puts the total energy at -4.3950 eV per atom. Its total magnetization is 0.0 Bohr magnetons per cell.

Cell: 4.879 4.879 5.093 Å, 90.00 90.00 90.00°
Fractional positions:
Pm: 0.000 0.000 0.000
Bi: 0.500 0.500 0.000
Pb: 0.000 0.500 0.500
Pb: 0.500 0.000 0.500

***

# 4
This record from Alexandria via LeMat-Bulk describes a relaxed structure of Pm8BiPb6. The functional is PBE.

Properties
As for the space-group type: No. 148. The value obtained for the theoretical density is 8.461 g/cm3. The calculation puts the total energy at -4.7505 eV per atom. Its total magnetization is 0.0 Bohr magnetons per cell.

Cell: 8.419 8.419 8.419 Å, 70.42 70.42 70.42°
Fractional positions:
Pm: 0.146 0.396 0.675
Pm: 0.176 0.176 0.176
Pm: 0.325 0.854 0.604
Pm: 0.396 0.675 0.146
Pm: 0.604 0.325 0.854
Pm: 0.675 0.146 0.396
Pm: 0.824 0.824 0.824
Pm: 0.854 0.604 0.325
Bi: 0.500 0.500 0.500
Pb: 0.041 0.820 0.422
Pb: 0.180 0.578 0.959
Pb: 0.422 0.041 0.820
Pb: 0.578 0.959 0.180
Pb: 0.820 0.422 0.041
Pb: 0.959 0.180 0.578

***

# 5
This record from Alexandria via LeMat-Bulk describes a relaxed structure of Pm3Bi2Pb. The functional is PBE.

Properties
As for the space-group type: No. 15. The value obtained for the theoretical density is 8.718 g/cm3. The calculation puts the total energy at -5.0500 eV per atom. Its total magnetization is 0.0 Bohr magnetons per cell.

Cell: 7.930 7.930 7.852 Å, 99.67 99.67 119.76°
Fractional positions:
Pm: 0.000 0.500 0.500
Pm: 0.165 0.333 0.002
Pm: 0.333 0.165 0.502
Pm: 0.500 0.000 0.000
Pm: 0.667 0.835 0.498
Pm: 0.835 0.667 0.998
Bi: 0.083 0.917 0.750
Bi: 0.249 0.751 0.250
Bi: 0.751 0.249 0.750
Bi: 0.917 0.083 0.250
Pb: 0.416 0.584 0.750
Pb: 0.584 0.416 0.250

***

# 6
This record from Alexandria via LeMat-Bulk describes a relaxed structure of Pm2BiPb. The functional is PBE.

Properties
As for the space-group type: No. 63. The value obtained for the theoretical density is 8.973 g/cm3. The calculation puts the total energy at -5.0187 eV per atom. Its total magnetization is 0.0 Bohr magnetons per cell.

Cell: 12.658 12.658 4.528 Å, 90.00 90.00 158.88°
Fractional positions:
Pm: 0.062 0.938 0.750
Pm: 0.316 0.684 0.750
Pm: 0.684 0.316 0.250
Pm: 0.938 0.062 0.250
Bi: 0.188 0.812 0.750
Bi: 0.812 0.188 0.250
Pb: 0.452 0.548 0.750
Pb: 0.548 0.452 0.250

***

# 7
This record from Alexandria via LeMat-Bulk describes a relaxed structure of Pm2BiPb. The functional is PBE.

Properties
As for the space-group type: No. 123. The value obtained for the theoretical density is 9.602 g/cm3. The calculation puts the total energy at -4.8792 eV per atom. Its total magnetization is 0.0 Bohr magnetons per cell.

Cell: 4.181 4.181 6.987 Å, 90.00 90.00 90.00°
Fractional positions:
Pm: 0.000 0.000 0.249
Pm: 0.000 0.000 0.751
Bi: 0.500 0.500 0.000
Pb: 0.500 0.500 0.500

***

# 8
This record from Alexandria via LeMat-Bulk describes a relaxed structure of Pm6BiPb. The functional is PBE.

Properties
As for the space-group type: No. 123. The value obtained for the theoretical density is 8.695 g/cm3. The calculation puts the total energy at -4.8874 eV per atom. Its total magnetization is 0.0 Bohr magnetons per cell.

Cell: 4.971 4.971 9.939 Å, 90.00 90.00 90.00°
Fractional positions:
Pm: 0.000 0.000 0.000
Pm: 0.000 0.000 0.500
Pm: 0.000 0.500 0.249
Pm: 0.000 0.500 0.751
Pm: 0.500 0.000 0.249
Pm: 0.500 0.000 0.751
Bi: 0.500 0.500 0.500
Pb: 0.500 0.500 0.000

***

# 9
This record from Alexandria via LeMat-Bulk describes a relaxed structure of Pm3BiPb2. The functional is PBE.

Properties
As for the space-group type: No. 26. The value obtained for the theoretical density is 9.165 g/cm3. The calculation puts the total energy at -4.8461 eV per atom. Its total magnetization is 0.0 Bohr magnetons per cell.

Cell: 4.424 10.300 8.416 Å, 90.00 90.00 90.00°
Fractional positions:
Pm: 0.000 0.079 0.000
Pm: 0.000 0.921 0.500
Pm: 0.500 0.214 0.349
Pm: 0.500 0.413 0.864
Pm: 0.500 0.587 0.364
Pm: 0.500 0.786 0.849
Bi: 0.000 0.378 0.152
Bi: 0.000 0.622 0.652
Pb: 0.000 0.286 0.620
Pb: 0.000 0.714 0.120
Pb: 0.500 0.076 0.723
Pb: 0.500 0.924 0.223

***

# 10
This record from Alexandria via LeMat-Bulk describes a relaxed structure of PmBiPb4. The functional is PBE.

Properties
As for the space-group type: No. 216. The value obtained for the theoretical density is 10.300 g/cm3. The calculation puts the total energy at -3.9660 eV per atom. Its total magnetization is 0.0 Bohr magnetons per cell.

Cell: 6.461 6.461 6.461 Å, 60.00 60.00 60.00°
Fractional positions:
Pm: 0.000 0.000 0.000
Bi: 0.750 0.750 0.750
Pb: 0.375 0.375 0.375
Pb: 0.375 0.375 0.876
Pb: 0.375 0.876 0.375
Pb: 0.876 0.375 0.375

***

# 11
This record from Alexandria via LeMat-Bulk describes a relaxed structure of PmBiPb. The functional is PBE.

Properties
As for the space-group type: No. 164. The value obtained for the theoretical density is 9.770 g/cm3. The calculation puts the total energy at -4.4291 eV per atom. Its total magnetization is 0.0 Bohr magnetons per cell.

Cell: 5.796 5.796 6.556 Å, 90.00 90.00 120.00°
Fractional positions:
Pm: 0.333 0.667 0.141
Pm: 0.667 0.333 0.859
Bi: 0.333 0.667 0.646
Bi: 0.667 0.333 0.354
Pb: 0.000 0.000 0.236
Pb: 0.000 0.000 0.764

***

# 12
This record from Alexandria via LeMat-Bulk describes a relaxed structure of Pm6BiPb3. The functional is PBE.

Properties
As for the space-group type: No. 11. The value obtained for the theoretical density is 8.178 g/cm3. The calculation puts the total energy at -4.7684 eV per atom. Its total magnetization is 4.8 Bohr magnetons per cell.

Cell: 11.812 4.525 13.306 Å, 90.00 103.79 90.00°
Fractional positions:
Pm: 0.031 0.250 0.367
Pm: 0.070 0.250 0.900
Pm: 0.258 0.750 0.311
Pm: 0.297 0.750 0.761
Pm: 0.381 0.750 0.097
Pm: 0.384 0.250 0.541
Pm: 0.616 0.750 0.459
Pm: 0.619 0.250 0.903
Pm: 0.703 0.250 0.239
Pm: 0.742 0.250 0.689
Pm: 0.930 0.750 0.100
Pm: 0.969 0.750 0.633
Bi: 0.457 0.250 0.304
Bi: 0.543 0.750 0.696
Pb: 0.132 0.250 0.147
Pb: 0.177 0.750 0.519
Pb: 0.348 0.250 0.923
Pb: 0.652 0.750 0.077
Pb: 0.823 0.250 0.481
Pb: 0.868 0.750 0.853

***

Copy entry 1 word for word.
This record from Alexandria via LeMat-Bulk describes a relaxed structure of TlBi2Pd2Pb2. The functional is PBE.

Properties
As for the space-group type: No. 139. The value obtained for the theoretical density is 9.753 g/cm3. The calculation puts the total energy at -3.8393 eV per atom. Its total magnetization is 0.0 Bohr magnetons per cell.

Cell: 8.977 8.977 8.977 Å, 147.09 147.09 47.23°
Fractional positions:
Tl: 0.000 0.000 0.000
Bi: 0.400 0.400 0.000
Bi: 0.600 0.600 0.000
Pd: 0.000 0.500 0.500
Pd: 0.500 0.000 0.500
Pb: 0.204 0.204 0.000
Pb: 0.796 0.796 0.000

***

The lowest theoretical density belongs to which entry? Pm6BiPb3

***

Look up the theoretical density of the tenth one. 10.300 g/cm3